8
Lattice="3.512 -6.063 0.000 3.512 6.063 0.000 0.000 0.000 5.330" Properties=species:S:1:pos:R:3 comment="KCeMg6 | Alexandria | PBE-GGA | optimized geometry" energy_ev_per_cell=-15.45 magmom_total_mub_per_atom=0.171 volume_a3_per_fu=227.0 delta_e_f_mev_per_atom=144 pbc="T T T"
K 3.512 5.037 0.000
Ce 3.512 1.022 2.665
Mg 1.726 2.027 0.000
Mg 5.299 2.027 0.000
Mg 3.512 -1.026 0.000
Mg 1.939 -2.114 2.665
Mg 5.085 -2.114 2.665
Mg 3.512 -4.859 2.665



12
Lattice="6.054 -0.004 0.005 -3.029 5.241 0.005 -1.003 -1.737 6.227" Properties=species:S:1:pos:R:3 comment="K3Ce2MgO6 | Alexandria | PBE-GGA | optimized geometry" energy_ev_per_cell=-76.44 magmom_total_mub_per_atom=0.084 volume_a3_per_fu=197.6 pbc="T T T"
K -2.076 3.533 3.119
K 4.097 -0.032 3.119
K 1.011 1.750 3.119
Ce -0.004 3.495 0.005
Ce 3.029 1.743 0.005
Mg 0.000 0.000 0.000
O 3.013 1.786 5.077
O 2.039 3.530 1.152
O -0.992 1.714 1.160
O 0.041 3.503 5.077
O -0.017 -0.030 5.086
O 1.980 -0.003 1.160



16
Lattice="-0.371 1.450 -4.378 -2.903 -3.486 -0.909 -7.115 5.308 2.361" Properties=species:S:1:pos:R:3 comment="KCeMg6O8 | Alexandria | PBE-GGA | optimized geometry" energy_ev_per_cell=-92.89 magmom_total_mub_per_atom=0.045 volume_a3_per_fu=196.6 pbc="T T T"
K 0.000 0.000 0.000
Ce -3.557 2.654 1.180
Mg -1.637 -1.018 -2.643
Mg -5.194 1.636 -1.463
Mg -3.053 -0.548 0.077
Mg -6.965 2.370 1.375
Mg -1.787 1.920 -1.658
Mg -5.699 4.839 -0.360
O -1.849 1.379 0.613
O -5.266 3.929 1.747
O -3.398 0.296 -2.059
O -6.991 2.976 -0.867
O -1.451 -1.743 -0.454
O -5.009 0.911 0.726
O -0.185 0.725 -2.189
O -3.743 3.379 -1.009